LaCd2RhO | PBE-GGA | optimized geometry

Computed properties:
The total moment comes out at 0.00 μB/f.u. The value obtained for the density of states at the Fermi level is 0.416 states/eV/atom. The space-group type is P4/mmm (123). The crystal system is tetragonal. The total energy is -22.265 eV for the cell shown.

a = 4.6858 Å, b = 4.6979 Å, c = 4.6858 Å
α = 90.00°, β = 90.00°, γ = 90.00°
Element x y z (fractional)
Cd: 0.0000 0.0000 0.5000
Cd: 0.5000 0.0000 0.0000
Rh: 0.5000 0.5000 0.5000
O: 0.0000 0.0000 0.0000
La: 0.0000 0.5000 0.0000